Version 1
! Rb2CaRe | Alexandria via LeMat-Bulk | PBE-GGA | relaxed; values from VASP
! V, Å³ per atom: 39.763
! Density of states at the Fermi level, states/eV per cell: 1.617
&SYSTEM
  ibrav = 0, nat = 4, ntyp = 3
/
ATOMIC_SPECIES
Re 186.21 Re.upf
Ca 40.08 Ca.upf
Rb 85.47 Rb.upf
ATOMIC_POSITIONS crystal
Re 0.500 0.500 0.500
Ca 0.000 0.000 0.000
Rb 0.250 0.250 0.250
Rb 0.750 0.750 0.750
CELL_PARAMETERS angstrom
0.000 4.300 4.300
4.300 0.000 4.300
4.300 4.300 0.000

---

Version 2
! Rb2CaRe | Alexandria via LeMat-Bulk | PBE-GGA | relaxed; values from VASP
! V, Å³ per atom: 38.282
! Density of states at the Fermi level, states/eV per cell: 9.374
&SYSTEM
  ibrav = 0, nat = 8, ntyp = 3
/
ATOMIC_SPECIES
Rb 85.47 Rb.upf
Re 186.21 Re.upf
Ca 40.08 Ca.upf
ATOMIC_POSITIONS crystal
Rb 0.637 0.125 0.250
Rb 0.375 0.363 0.750
Rb 0.113 0.625 0.250
Rb 0.875 0.887 0.750
Re 0.000 0.000 0.000
Re 0.750 0.250 0.500
Ca 0.500 0.500 0.000
Ca 0.250 0.750 0.500
CELL_PARAMETERS angstrom
-3.387 -0.530 3.323
2.682 -3.271 2.213
5.365 7.774 10.137

---

The energy of each structure relative to the most stable one, in eV/atom, is as follows: version 1 0.066; version 2 0.000.

---

Version 1
! RbCa2Re | Alexandria via LeMat-Bulk | PBE-GGA | relaxed; values from VASP
! V, Å³ per atom: 30.014
! Density of states at the Fermi level, states/eV per cell: 4.439
&SYSTEM
  ibrav = 0, nat = 4, ntyp = 3
/
ATOMIC_SPECIES
Rb 85.47 Rb.upf
Re 186.21 Re.upf
Ca 40.08 Ca.upf
ATOMIC_POSITIONS crystal
Rb 0.000 0.000 0.000
Re 0.500 0.500 0.500
Ca 0.250 0.250 0.250
Ca 0.750 0.750 0.750
CELL_PARAMETERS angstrom
0.000 3.915 3.915
3.915 0.000 3.915
3.915 3.915 0.000

---

Version 2
! RbCa2Re | Alexandria via LeMat-Bulk | PBE-GGA | relaxed; values from VASP
! V, Å³ per atom: 50.060
! Density of states at the Fermi level, states/eV per cell: 11.639
&SYSTEM
  ibrav = 0, nat = 8, ntyp = 3
/
ATOMIC_SPECIES
Ca 40.08 Ca.upf
Rb 85.47 Rb.upf
Re 186.21 Re.upf
ATOMIC_POSITIONS crystal
Ca 0.375 0.125 0.750
Ca 0.875 0.125 0.250
Ca 0.875 0.625 0.250
Ca 0.875 0.125 0.750
Rb 0.250 0.750 0.500
Rb 0.500 0.500 0.000
Re 0.750 0.250 0.500
Re 0.000 0.000 0.000
CELL_PARAMETERS angstrom
8.271 0.000 0.000
0.000 8.271 0.000
4.135 4.135 5.855

---

The energy of each structure relative to the most stable one, in eV/atom, is as follows: version 1 0.000; version 2 0.229.

---

Version 1
! RbCaRe2 | Alexandria via LeMat-Bulk | PBE-GGA | relaxed; values from VASP
! V, Å³ per atom: 25.276
! Density of states at the Fermi level, states/eV per cell: 10.408
&SYSTEM
  ibrav = 0, nat = 8, ntyp = 3
/
ATOMIC_SPECIES
Rb 85.47 Rb.upf
Re 186.21 Re.upf
Ca 40.08 Ca.upf
ATOMIC_POSITIONS crystal
Rb 0.000 0.000 0.000
Rb 0.750 0.250 0.500
Re 0.139 0.625 0.250
Re 0.375 0.389 0.750
Re 0.611 0.125 0.250
Re 0.875 0.861 0.750
Ca 0.250 0.750 0.500
Ca 0.500 0.500 0.000
CELL_PARAMETERS angstrom
8.783 0.000 0.000
0.000 8.783 0.000
4.391 4.391 2.621

---

Version 2
! RbCaRe2 | Alexandria via LeMat-Bulk | PBE-GGA | relaxed; values from VASP
! V, Å³ per atom: 24.807
! Density of states at the Fermi level, states/eV per cell: 5.313
&SYSTEM
  ibrav = 0, nat = 4, ntyp = 3
/
ATOMIC_SPECIES
Re 186.21 Re.upf
Rb 85.47 Rb.upf
Ca 40.08 Ca.upf
ATOMIC_POSITIONS crystal
Re 0.750 0.750 0.750
Re 0.250 0.250 0.250
Rb 0.500 0.500 0.500
Ca 0.000 0.000 0.000
CELL_PARAMETERS angstrom
0.000 3.675 3.675
3.675 0.000 3.675
3.675 3.675 0.000

---

The energy of each structure relative to the most stable one, in eV/atom, is as follows: version 1 0.000; version 2 0.301.

---

Version 1
! RbCa2Re2 | Alexandria via LeMat-Bulk | PBE-GGA | relaxed; values from VASP
! V, Å³ per atom: 31.436
! Density of states at the Fermi level, states/eV per cell: 4.687
&SYSTEM
  ibrav = 0, nat = 5, ntyp = 3
/
ATOMIC_SPECIES
Ca 40.08 Ca.upf
Re 186.21 Re.upf
Rb 85.47 Rb.upf
ATOMIC_POSITIONS crystal
Ca 0.250 0.750 0.500
Ca 0.750 0.250 0.500
Re 0.618 0.618 0.765
Re 0.382 0.382 0.235
Rb 0.000 0.000 0.000
CELL_PARAMETERS angstrom
5.781 0.000 0.000
0.000 5.781 0.000
2.890 2.890 4.704

---

Version 2
! RbCa2Re2 | Alexandria via LeMat-Bulk | PBE-GGA | relaxed; values from VASP
! V, Å³ per atom: 26.405
! Density of states at the Fermi level, states/eV per cell: 6.819
&SYSTEM
  ibrav = 0, nat = 10, ntyp = 3
/
ATOMIC_SPECIES
Ca 40.08 Ca.upf
Rb 85.47 Rb.upf
Re 186.21 Re.upf
ATOMIC_POSITIONS crystal
Ca 0.313 0.187 0.500
Ca 0.687 0.813 0.500
Ca 0.187 0.687 0.500
Ca 0.813 0.313 0.500
Rb 0.500 0.500 0.000
Rb 0.000 0.000 0.000
Re 0.588 0.088 0.000
Re 0.412 0.912 0.000
Re 0.088 0.412 0.000
Re 0.912 0.588 0.000
CELL_PARAMETERS angstrom
-0.373 -3.377 8.708
8.210 -4.274 -1.305
1.440 2.456 1.014

---

The energy of each structure relative to the most stable one, in eV/atom, is as follows: version 1 0.310; version 2 0.000.